i.
The following is a PBE calculation of a geometry-optimized ReN2Cl6 structure, from Alexandria via LeMat-Bulk. Values from VASP.

```
&SYSTEM
  ibrav = 0, nat = 9, ntyp = 3
/
ATOMIC_SPECIES
Re 186.21 Re.upf
N 14.01 N.upf
Cl 35.45 Cl.upf
CELL_PARAMETERS angstrom
-6.842 2.129 0.472
-3.024 3.595 -5.431
-5.030 -3.158 -4.036
ATOMIC_POSITIONS crystal
Re 0.000 0.000 0.000
N 0.250 0.250 0.250
N 0.750 0.750 0.750
Cl 0.226 0.774 0.226
Cl 0.774 0.226 0.774
Cl 0.226 0.226 0.774
Cl 0.774 0.774 0.226
Cl 0.774 0.226 0.226
Cl 0.226 0.774 0.774
```

Results
total moment = 7.04 μB/cell
SG = Fm-3m (225)



ii.
The following is a PBE calculation of a geometry-optimized ReN2Cl6 structure, from Alexandria via LeMat-Bulk. Values from VASP.

```
&SYSTEM
  ibrav = 0, nat = 9, ntyp = 3
/
ATOMIC_SPECIES
Re 186.21 Re.upf
N 14.01 N.upf
Cl 35.45 Cl.upf
CELL_PARAMETERS angstrom
-6.441 5.014 2.536
-6.165 -3.164 5.005
-0.949 2.248 7.552
ATOMIC_POSITIONS crystal
Re 0.678 0.678 0.967
N 0.256 0.256 0.232
N 0.588 0.588 0.236
Cl 0.342 0.326 0.335
Cl 0.326 0.997 0.335
Cl 0.997 0.342 0.335
Cl 0.429 0.841 0.852
Cl 0.841 0.878 0.852
Cl 0.878 0.429 0.852
```

Results
total moment = 1.01 μB/cell
SG = R3 (146)



Stability, descending: ii, i



i.
The following is a PBE calculation of a geometry-optimized Re2NCl structure, from Alexandria via LeMat-Bulk. Values from VASP.

```
&SYSTEM
  ibrav = 0, nat = 4, ntyp = 3
/
ATOMIC_SPECIES
Re 186.21 Re.upf
N 14.01 N.upf
Cl 35.45 Cl.upf
CELL_PARAMETERS angstrom
1.534 -3.043 2.248
-1.652 -3.728 -0.211
2.044 -3.040 -1.803
ATOMIC_POSITIONS crystal
Re 0.250 0.250 0.250
Re 0.750 0.750 0.750
N 0.000 0.000 0.000
Cl 0.500 0.500 0.500
```

Results
total moment = 0.00 μB/cell
SG = Fm-3m (225)



ii.
The following is a PBE calculation of a geometry-optimized Re2NCl structure, from Alexandria via LeMat-Bulk. Values from VASP.

```
&SYSTEM
  ibrav = 0, nat = 8, ntyp = 3
/
ATOMIC_SPECIES
Re 186.21 Re.upf
N 14.01 N.upf
Cl 35.45 Cl.upf
CELL_PARAMETERS angstrom
4.129 0.000 0.000
0.000 4.129 0.000
2.064 2.064 6.772
ATOMIC_POSITIONS crystal
Re 0.551 0.125 0.250
Re 0.199 0.625 0.250
Re 0.375 0.449 0.750
Re 0.875 0.801 0.750
N 0.500 0.500 0.000
N 0.250 0.750 0.500
Cl 0.000 0.000 0.000
Cl 0.750 0.250 0.500
```

Results
total moment = 0.00 μB/cell
SG = I-42d (122)



Stability, descending: ii, i



i.
The following is a PBE calculation of a geometry-optimized ReTeN2Cl structure, from Alexandria via LeMat-Bulk. Values from VASP.

```
&SYSTEM
  ibrav = 0, nat = 5, ntyp = 4
/
ATOMIC_SPECIES
Re 186.21 Re.upf
N 14.01 N.upf
Te 127.60 Te.upf
Cl 35.45 Cl.upf
CELL_PARAMETERS angstrom
-2.017 -1.807 2.795
2.755 -2.740 0.217
2.751 3.081 3.977
ATOMIC_POSITIONS crystal
Re 0.000 0.000 0.000
N 0.000 0.500 0.000
N 0.500 0.000 0.000
Te 0.000 0.000 0.500
Cl 0.500 0.500 0.500
```

Results
total moment = 0.00 μB/cell
SG = P4/mmm (123)



ii.
The following is a PBE calculation of a geometry-optimized ReTeN2Cl structure, from Alexandria via LeMat-Bulk. Values from VASP.

```
&SYSTEM
  ibrav = 0, nat = 5, ntyp = 4
/
ATOMIC_SPECIES
Re 186.21 Re.upf
N 14.01 N.upf
Te 127.60 Te.upf
Cl 35.45 Cl.upf
CELL_PARAMETERS angstrom
-3.563 0.334 -1.736
0.092 -3.866 -0.932
-2.239 -1.110 4.381
ATOMIC_POSITIONS crystal
Re 0.500 0.500 0.500
N 0.000 0.500 0.000
N 0.500 0.000 0.000
Te 0.000 0.000 0.500
Cl 0.000 0.000 0.000
```

Results
total moment = 1.83 μB/cell
SG = P4/mmm (123)



Stability, descending: i, ii



i.
The following is a PBE calculation of a geometry-optimized RhNCl3 structure, from Alexandria via LeMat-Bulk. Values from VASP.

```
&SYSTEM
  ibrav = 0, nat = 5, ntyp = 3
/
ATOMIC_SPECIES
N 14.01 N.upf
Rh 102.91 Rh.upf
Cl 35.45 Cl.upf
CELL_PARAMETERS angstrom
4.713 0.000 0.000
0.000 4.713 0.000
0.000 0.000 4.713
ATOMIC_POSITIONS crystal
N 0.500 0.500 0.500
Rh 0.000 0.000 0.000
Cl 0.000 0.500 0.000
Cl 0.000 0.000 0.500
Cl 0.500 0.000 0.000
```

Results
total moment = 0.00 μB/cell
SG = Pm-3m (221)



ii.
The following is a PBE calculation of a geometry-optimized RhNCl3 structure, from Alexandria via LeMat-Bulk. Values from VASP.

```
&SYSTEM
  ibrav = 0, nat = 5, ntyp = 3
/
ATOMIC_SPECIES
N 14.01 N.upf
Rh 102.91 Rh.upf
Cl 35.45 Cl.upf
CELL_PARAMETERS angstrom
4.420 0.000 0.000
0.000 4.420 0.000
0.000 0.000 4.420
ATOMIC_POSITIONS crystal
N 0.000 0.000 0.000
Rh 0.500 0.500 0.500
Cl 0.000 0.500 0.000
Cl 0.000 0.000 0.500
Cl 0.500 0.000 0.000
```

Results
total moment = 2.28 μB/cell
SG = Pm-3m (221)



Stability, descending: i, ii



i.
The following is a PBE calculation of a geometry-optimized Rh2NCl structure, from Alexandria via LeMat-Bulk. Values from VASP.

```
&SYSTEM
  ibrav = 0, nat = 8, ntyp = 3
/
ATOMIC_SPECIES
N 14.01 N.upf
Rh 102.91 Rh.upf
Cl 35.45 Cl.upf
CELL_PARAMETERS angstrom
5.029 0.000 0.000
0.000 5.029 0.000
2.515 2.515 5.205
ATOMIC_POSITIONS crystal
N 0.500 0.500 0.000
N 0.250 0.750 0.500
Rh 0.520 0.125 0.250
Rh 0.230 0.625 0.250
Rh 0.375 0.480 0.750
Rh 0.875 0.770 0.750
Cl 0.000 0.000 0.000
Cl 0.750 0.250 0.500
```

Results
total moment = 0.00 μB/cell
SG = I-42d (122)



ii.
The following is a PBE calculation of a geometry-optimized Rh2NCl structure, from Alexandria via LeMat-Bulk. Values from VASP.

```
&SYSTEM
  ibrav = 0, nat = 4, ntyp = 3
/
ATOMIC_SPECIES
N 14.01 N.upf
Rh 102.91 Rh.upf
Cl 35.45 Cl.upf
CELL_PARAMETERS angstrom
0.000 2.934 2.934
2.934 0.000 2.934
2.934 2.934 0.000
ATOMIC_POSITIONS crystal
N 0.000 0.000 0.000
Rh 0.250 0.250 0.250
Rh 0.750 0.750 0.750
Cl 0.500 0.500 0.500
```

Results
total moment = 1.01 μB/cell
SG = Fm-3m (225)



Stability, descending: i, ii



i.
The following is a PBE calculation of a geometry-optimized RhSe2NCl structure, from Alexandria via LeMat-Bulk. Values from VASP.

```
&SYSTEM
  ibrav = 0, nat = 5, ntyp = 4
/
ATOMIC_SPECIES
N 14.01 N.upf
Rh 102.91 Rh.upf
Se 78.96 Se.upf
Cl 35.45 Cl.upf
CELL_PARAMETERS angstrom
-3.963 -2.427 2.032
0.774 -3.900 -3.149
1.993 -1.396 2.219
ATOMIC_POSITIONS crystal
N 0.000 0.000 0.500
Rh 0.500 0.500 0.500
Se 0.000 0.500 0.000
Se 0.500 0.000 0.000
Cl 0.000 0.000 0.000
```

Results
total moment = 0.00 μB/cell
SG = P4/mmm (123)



ii.
The following is a PBE calculation of a geometry-optimized RhSe2NCl structure, from Alexandria via LeMat-Bulk. Values from VASP.

```
&SYSTEM
  ibrav = 0, nat = 5, ntyp = 4
/
ATOMIC_SPECIES
N 14.01 N.upf
Rh 102.91 Rh.upf
Se 78.96 Se.upf
Cl 35.45 Cl.upf
CELL_PARAMETERS angstrom
-3.643 1.433 3.451
-0.094 -4.853 1.916
2.589 0.884 2.366
ATOMIC_POSITIONS crystal
N 0.000 0.000 0.500
Rh 0.000 0.000 0.000
Se 0.000 0.500 0.000
Se 0.500 0.000 0.000
Cl 0.500 0.500 0.500
```

Results
total moment = 0.00 μB/cell
SG = P4/mmm (123)



Stability, descending: ii, i



i.
The following is a PBE calculation of a geometry-optimized RuNCl3 structure, from Alexandria via LeMat-Bulk. Values from VASP.

```
&SYSTEM
  ibrav = 0, nat = 5, ntyp = 3
/
ATOMIC_SPECIES
Ru 101.07 Ru.upf
N 14.01 N.upf
Cl 35.45 Cl.upf
CELL_PARAMETERS angstrom
4.448 0.000 0.000
0.000 4.448 0.000
0.000 0.000 4.448
ATOMIC_POSITIONS crystal
Ru 0.500 0.500 0.500
N 0.000 0.000 0.000
Cl 0.000 0.500 0.000
Cl 0.000 0.000 0.500
Cl 0.500 0.000 0.000
```

Results
total moment = 3.51 μB/cell
SG = Pm-3m (221)



ii.
The following is a PBE calculation of a geometry-optimized RuNCl3 structure, from Alexandria via LeMat-Bulk. Values from VASP.

```
&SYSTEM
  ibrav = 0, nat = 20, ntyp = 3
/
ATOMIC_SPECIES
Ru 101.07 Ru.upf
N 14.01 N.upf
Cl 35.45 Cl.upf
CELL_PARAMETERS angstrom
-5.315 2.869 3.588
-4.221 -1.852 -4.772
-1.756 -10.842 5.761
ATOMIC_POSITIONS crystal
Ru 0.076 0.372 0.116
Ru 0.076 0.628 0.616
Ru 0.924 0.372 0.384
Ru 0.924 0.628 0.884
N 0.979 0.128 0.295
N 0.021 0.128 0.205
N 0.979 0.872 0.795
N 0.021 0.872 0.705
Cl 0.648 0.267 0.457
Cl 0.648 0.733 0.957
Cl 0.213 0.517 0.784
Cl 0.104 0.700 0.042
Cl 0.213 0.483 0.284
Cl 0.352 0.733 0.543
Cl 0.896 0.700 0.458
Cl 0.787 0.517 0.716
Cl 0.896 0.300 0.958
Cl 0.787 0.483 0.216
Cl 0.352 0.267 0.043
Cl 0.104 0.300 0.542
```

Results
total moment = 4.08 μB/cell
SG = P2/c (13)



iii.
The following is a PBE calculation of a geometry-optimized RuNCl3 structure, from Alexandria via LeMat-Bulk. Values from VASP.

```
&SYSTEM
  ibrav = 0, nat = 5, ntyp = 3
/
ATOMIC_SPECIES
Ru 101.07 Ru.upf
N 14.01 N.upf
Cl 35.45 Cl.upf
CELL_PARAMETERS angstrom
-2.348 -3.363 -2.281
2.518 -3.272 2.231
-3.188 -0.108 3.442
ATOMIC_POSITIONS crystal
Ru 0.000 0.000 0.000
N 0.500 0.500 0.500
Cl 0.000 0.500 0.000
Cl 0.000 0.000 0.500
Cl 0.500 0.000 0.000
```

Results
total moment = 0.00 μB/cell
SG = Pm-3m (221)



Stability, descending: ii, iii, i



i.
The following is a PBE calculation of a geometry-optimized RuS2NCl structure, from Alexandria via LeMat-Bulk. Values from VASP.

```
&SYSTEM
  ibrav = 0, nat = 5, ntyp = 4
/
ATOMIC_SPECIES
Ru 101.07 Ru.upf
S 32.06 S.upf
N 14.01 N.upf
Cl 35.45 Cl.upf
CELL_PARAMETERS angstrom
-2.547 -1.541 -2.941
-1.303 -2.795 2.593
-3.032 2.591 1.268
ATOMIC_POSITIONS crystal
Ru 0.500 0.500 0.500
S 0.000 0.000 0.500
S 0.500 0.000 0.000
N 0.000 0.000 0.000
Cl 0.000 0.500 0.000
```

Results
total moment = 1.52 μB/cell
SG = P4/mmm (123)



ii.
The following is a PBE calculation of a geometry-optimized RuS2NCl structure, from Alexandria via LeMat-Bulk. Values from VASP.

```
&SYSTEM
  ibrav = 0, nat = 5, ntyp = 4
/
ATOMIC_SPECIES
Ru 101.07 Ru.upf
S 32.06 S.upf
N 14.01 N.upf
Cl 35.45 Cl.upf
CELL_PARAMETERS angstrom
-1.921 0.568 4.267
-3.618 -2.745 -1.264
1.607 -2.611 1.071
ATOMIC_POSITIONS crystal
Ru 0.500 0.500 0.500
S 0.000 0.500 0.000
S 0.500 0.000 0.000
N 0.000 0.000 0.500
Cl 0.000 0.000 0.000
```

Results
total moment = 0.00 μB/cell
SG = P4/mmm (123)



iii.
The following is a PBE calculation of a geometry-optimized RuS2NCl structure, from Alexandria via LeMat-Bulk. Values from VASP.

```
&SYSTEM
  ibrav = 0, nat = 5, ntyp = 4
/
ATOMIC_SPECIES
Ru 101.07 Ru.upf
S 32.06 S.upf
N 14.01 N.upf
Cl 35.45 Cl.upf
CELL_PARAMETERS angstrom
-2.523 3.495 -1.314
-0.555 -1.920 -4.039
-4.110 -2.338 1.676
ATOMIC_POSITIONS crystal
Ru 0.000 0.000 0.000
S 0.000 0.500 0.000
S 0.500 0.000 0.000
N 0.500 0.500 0.500
Cl 0.000 0.000 0.500
```

Results
total moment = 1.17 μB/cell
SG = P4/mmm (123)



iv.
The following is a PBE calculation of a geometry-optimized RuS2NCl structure, from Alexandria via LeMat-Bulk. Values from VASP.

```
&SYSTEM
  ibrav = 0, nat = 5, ntyp = 4
/
ATOMIC_SPECIES
Ru 101.07 Ru.upf
S 32.06 S.upf
N 14.01 N.upf
Cl 35.45 Cl.upf
CELL_PARAMETERS angstrom
4.810 0.000 0.000
0.000 4.810 0.000
0.000 0.000 3.690
ATOMIC_POSITIONS crystal
Ru 0.000 0.000 0.000
S 0.000 0.500 0.000
S 0.500 0.000 0.000
N 0.000 0.000 0.500
Cl 0.500 0.500 0.500
```

Results
total moment = 0.00 μB/cell
SG = P4/mmm (123)



Stability, descending: iv, iii, i, ii



i.
The following is a PBE calculation of a geometry-optimized RuSNCl2 structure, from Alexandria via LeMat-Bulk. Values from VASP.

```
&SYSTEM
  ibrav = 0, nat = 5, ntyp = 4
/
ATOMIC_SPECIES
Ru 101.07 Ru.upf
S 32.06 S.upf
N 14.01 N.upf
Cl 35.45 Cl.upf
CELL_PARAMETERS angstrom
-3.003 -2.716 -1.096
-0.857 -0.685 4.048
-3.056 3.408 -0.071
ATOMIC_POSITIONS crystal
Ru 0.500 0.500 0.500
S 0.000 0.000 0.500
N 0.000 0.000 0.000
Cl 0.000 0.500 0.000
Cl 0.500 0.000 0.000
```

Results
total moment = 3.54 μB/cell
SG = P4/mmm (123)



ii.
The following is a PBE calculation of a geometry-optimized RuSNCl2 structure, from Alexandria via LeMat-Bulk. Values from VASP.

```
&SYSTEM
  ibrav = 0, nat = 5, ntyp = 4
/
ATOMIC_SPECIES
Ru 101.07 Ru.upf
S 32.06 S.upf
N 14.01 N.upf
Cl 35.45 Cl.upf
CELL_PARAMETERS angstrom
4.775 0.000 0.000
0.000 4.775 0.000
0.000 0.000 4.419
ATOMIC_POSITIONS crystal
Ru 0.000 0.000 0.000
S 0.000 0.000 0.500
N 0.500 0.500 0.500
Cl 0.000 0.500 0.000
Cl 0.500 0.000 0.000
```

Results
total moment = 0.00 μB/cell
SG = P4/mmm (123)



Stability, descending: ii, i



i.
The following is a PBE calculation of a geometry-optimized RuSe2NCl structure, from Alexandria via LeMat-Bulk. Values from VASP.

```
&SYSTEM
  ibrav = 0, nat = 5, ntyp = 4
/
ATOMIC_SPECIES
Ru 101.07 Ru.upf
N 14.01 N.upf
Se 78.96 Se.upf
Cl 35.45 Cl.upf
CELL_PARAMETERS angstrom
5.126 0.000 0.000
0.000 5.126 0.000
0.000 0.000 3.655
ATOMIC_POSITIONS crystal
Ru 0.000 0.000 0.000
N 0.000 0.000 0.500
Se 0.000 0.500 0.000
Se 0.500 0.000 0.000
Cl 0.500 0.500 0.500
```

Results
total moment = 0.00 μB/cell
SG = P4/mmm (123)



ii.
The following is a PBE calculation of a geometry-optimized RuSe2NCl structure, from Alexandria via LeMat-Bulk. Values from VASP.

```
&SYSTEM
  ibrav = 0, nat = 5, ntyp = 4
/
ATOMIC_SPECIES
Ru 101.07 Ru.upf
N 14.01 N.upf
Se 78.96 Se.upf
Cl 35.45 Cl.upf
CELL_PARAMETERS angstrom
4.978 0.000 0.000
0.000 4.978 0.000
0.000 0.000 3.300
ATOMIC_POSITIONS crystal
Ru 0.500 0.500 0.500
N 0.000 0.000 0.500
Se 0.000 0.500 0.000
Se 0.500 0.000 0.000
Cl 0.000 0.000 0.000
```

Results
total moment = 0.00 μB/cell
SG = P4/mmm (123)



Stability, descending: i, ii



i.
The following is a PBE calculation of a geometry-optimized Te2RuNCl structure, from Alexandria via LeMat-Bulk. Values from VASP.

```
&SYSTEM
  ibrav = 0, nat = 5, ntyp = 4
/
ATOMIC_SPECIES
Ru 101.07 Ru.upf
N 14.01 N.upf
Te 127.60 Te.upf
Cl 35.45 Cl.upf
CELL_PARAMETERS angstrom
5.530 0.000 0.000
0.000 5.530 0.000
0.000 0.000 3.629
ATOMIC_POSITIONS crystal
Ru 0.000 0.000 0.000
N 0.000 0.000 0.500
Te 0.000 0.500 0.000
Te 0.500 0.000 0.000
Cl 0.500 0.500 0.500
```

Results
total moment = 0.00 μB/cell
SG = P4/mmm (123)



ii.
The following is a PBE calculation of a geometry-optimized Te2RuNCl structure, from Alexandria via LeMat-Bulk. Values from VASP.

```
&SYSTEM
  ibrav = 0, nat = 5, ntyp = 4
/
ATOMIC_SPECIES
Ru 101.07 Ru.upf
N 14.01 N.upf
Te 127.60 Te.upf
Cl 35.45 Cl.upf
CELL_PARAMETERS angstrom
5.316 0.000 0.000
0.000 5.316 0.000
0.000 0.000 3.364
ATOMIC_POSITIONS crystal
Ru 0.500 0.500 0.500
N 0.000 0.000 0.500
Te 0.000 0.500 0.000
Te 0.500 0.000 0.000
Cl 0.000 0.000 0.000
```

Results
total moment = 0.51 μB/cell
SG = P4/mmm (123)



Stability, descending: i, ii



i.
The following is a PBE calculation of a geometry-optimized SbSN2Cl structure, from Alexandria via LeMat-Bulk. Values from VASP.

```
&SYSTEM
  ibrav = 0, nat = 5, ntyp = 4
/
ATOMIC_SPECIES
Sb 121.76 Sb.upf
S 32.06 S.upf
N 14.01 N.upf
Cl 35.45 Cl.upf
CELL_PARAMETERS angstrom
3.942 0.000 0.000
0.000 3.942 0.000
0.000 0.000 5.857
ATOMIC_POSITIONS crystal
Sb 0.000 0.000 0.000
S 0.000 0.000 0.500
N 0.000 0.500 0.000
N 0.500 0.000 0.000
Cl 0.500 0.500 0.500
```

Results
total moment = 0.98 μB/cell
SG = P4/mmm (123)



ii.
The following is a PBE calculation of a geometry-optimized SbSN2Cl structure, from Alexandria via LeMat-Bulk. Values from VASP.

```
&SYSTEM
  ibrav = 0, nat = 5, ntyp = 4
/
ATOMIC_SPECIES
Sb 121.76 Sb.upf
S 32.06 S.upf
N 14.01 N.upf
Cl 35.45 Cl.upf
CELL_PARAMETERS angstrom
-2.162 3.298 -0.799
0.112 -0.878 -3.926
-3.913 -2.459 0.438
ATOMIC_POSITIONS crystal
Sb 0.500 0.500 0.500
S 0.000 0.000 0.500
N 0.000 0.500 0.000
N 0.500 0.000 0.000
Cl 0.000 0.000 0.000
```

Results
total moment = 0.96 μB/cell
SG = P4/mmm (123)



Stability, descending: i, ii